Below is Al2SiRu after structural relaxation, with properties calculated at the PBE level.

a = 3.780 Å, b = 3.780 Å, c = 7.754 Å
α = 90.00°, β = 90.00°, γ = 90.00°
Fractional positions:
Al1 0.000 0.500 0.250
Al2 0.000 0.500 0.750
Al3 0.500 0.000 0.250
Al4 0.500 0.000 0.750
Si1 0.000 0.000 0.000
Si2 0.500 0.500 0.500
Ru1 0.000 0.000 0.500
Ru2 0.500 0.500 0.000

Values from the calculation:
The value obtained for the uncorrected formation energy is -0.287 eV per atom. For the size of the total moment, the calculation gives 0.0 μB per formula unit.

=====

Below is Al4SiRu after structural relaxation, with properties calculated at the PBE level.

a = 5.075 Å, b = 5.075 Å, c = 5.075 Å
α = 60.00°, β = 60.00°, γ = 60.00°
Fractional positions:
Al1 0.125 0.125 0.125
Al2 0.125 0.125 0.626
Al3 0.125 0.626 0.125
Al4 0.626 0.125 0.125
Si1 0.500 0.500 0.500
Ru1 0.750 0.750 0.750

Values from the calculation:
The value obtained for the uncorrected formation energy is 0.209 eV per atom. For the size of the total moment, the calculation gives 0.0 μB per formula unit.

=====

Below is Al2SiRu after structural relaxation, with properties calculated at the PBE level.

a = 9.097 Å, b = 4.225 Å, c = 7.631 Å
α = 90.00°, β = 125.83°, γ = 90.00°
Fractional positions:
Al1 0.000 0.000 0.000
Al2 0.001 0.000 0.497
Al3 0.136 0.500 0.847
Al4 0.363 0.000 0.150
Al5 0.500 0.500 0.000
Al6 0.501 0.500 0.497
Al7 0.636 0.000 0.847
Al8 0.863 0.500 0.150
Si1 0.208 0.500 0.563
Si2 0.294 0.000 0.437
Si3 0.708 0.000 0.563
Si4 0.794 0.500 0.437
Ru1 0.184 0.500 0.222
Ru2 0.316 0.000 0.777
Ru3 0.684 0.000 0.222
Ru4 0.816 0.500 0.777

Values from the calculation:
The value obtained for the uncorrected formation energy is -0.400 eV per atom. For the size of the total moment, the calculation gives 0.0 μB per formula unit.

=====

Below is Al2SiRu after structural relaxation, with properties calculated at the PBE level.

a = 4.029 Å, b = 3.072 Å, c = 9.516 Å
α = 90.00°, β = 90.00°, γ = 90.00°
Fractional positions:
Al1 0.000 0.000 0.000
Al2 0.000 0.500 0.500
Al3 0.500 0.000 0.327
Al4 0.500 0.500 0.827
Si1 0.000 0.000 0.734
Si2 0.000 0.500 0.234
Ru1 0.500 0.000 0.599
Ru2 0.500 0.500 0.099

Values from the calculation:
The value obtained for the uncorrected formation energy is -0.394 eV per atom. For the size of the total moment, the calculation gives 0.0 μB per formula unit.

=====

Repeat the second record exactly.
Below is Al4SiRu after structural relaxation, with properties calculated at the PBE level.

a = 5.075 Å, b = 5.075 Å, c = 5.075 Å
α = 60.00°, β = 60.00°, γ = 60.00°
Fractional positions:
Al1 0.125 0.125 0.125
Al2 0.125 0.125 0.626
Al3 0.125 0.626 0.125
Al4 0.626 0.125 0.125
Si1 0.500 0.500 0.500
Ru1 0.750 0.750 0.750

Values from the calculation:
The value obtained for the uncorrected formation energy is 0.209 eV per atom. For the size of the total moment, the calculation gives 0.0 μB per formula unit.

=====

Question: What is the formula in the first record?
Answer: Al2SiRu